The following is a PBE-GGA calculation of a relaxed CeZn3Ga2 crystal, from Alexandria.

The energy of formation from the pure elements is -0.321 eV per atom. The calculation puts the total energy at -17.7 eV/f.u. As for the symmetry: C2/m. As for the density: 7.045 g cm⁻³. The density of states at the Fermi level comes out at 12.6 states/eV per cell.

Cell: 4.249 8.042 7.564 Å, 114.90 90.00 105.32°
Fractional coordinates of all 12 atoms:
Ga: 0.200 0.400 0.709
Ga: 0.800 0.600 0.291
Ga: 0.521 0.042 0.176
Ga: 0.479 0.958 0.824
Zn: 0.966 0.932 0.628
Zn: 0.387 0.774 0.278
Zn: 0.613 0.226 0.722
Zn: 0.688 0.375 0.459
Zn: 0.034 0.068 0.372
Zn: 0.312 0.625 0.541
Ce: 0.854 0.707 0.926
Ce: 0.146 0.293 0.074

The following is a PBE-GGA calculation of a relaxed Sm2DyY6Tm3 crystal, from Alexandria.

The energy of formation from the pure elements is 0.024 eV per atom. The calculation puts the total energy at -66.0 eV/f.u. As for the symmetry: C2/m. As for the density: 6.539 g cm⁻³. The density of states at the Fermi level comes out at 17.6 states/eV per cell.

Cell: 6.161 6.161 11.787 Å, 94.99 94.99 119.94°
Fractional coordinates of all 12 atoms:
Y: 0.582 0.915 0.747
Y: 0.085 0.418 0.253
Y: 0.915 0.582 0.747
Y: 0.752 0.752 0.253
Y: 0.418 0.085 0.253
Y: 0.248 0.248 0.747
Sm: 0.333 0.667 0.000
Sm: 0.667 0.333 0.000
Dy: 0.000 0.000 0.000
Tm: 0.833 0.167 0.500
Tm: 0.500 0.500 0.500
Tm: 0.167 0.833 0.500

The following is a PBE-GGA calculation of a relaxed LaPW2 crystal, from Alexandria.

The energy of formation from the pure elements is -0.068 eV per atom. The calculation puts the total energy at -36.5 eV/f.u. As for the symmetry: Pm. As for the energy above the most stable polymorph in this dataset: 0.0 meV/atom. As for the density: 10.755 g cm⁻³. The density of states at the Fermi level comes out at 3.2 states/eV per cell.

Cell: 4.190 3.347 6.005 Å, 80.24 90.00 90.00°
Fractional coordinates of all 4 atoms:
W: 0.500 0.309 0.095
W: 0.000 0.829 0.053
La: 0.000 0.462 0.562
P: 0.500 0.899 0.790

| no. | volume (Å³/atom) |
| --- | --- |
| 1 | 18.690 |
| 2 | 31.816 |
| 3 | 20.750 |